1.
## Cd2TeIr (GGA-PBE)

Data for a relaxed structure of Cd2TeIr.

Energy relative to the elements, uncorrected (eV per atom): -0.008

Lattice parameters (Å, degrees): 3.103 4.683 12.819 90.00 90.00 90.00
Space group Imm2 (No. 44)
One atom of each set of equivalent atoms:
Cd1 0.000 0.000 0.000
Cd2 0.000 0.500 0.164
Te1 0.000 0.000 0.356
Ir1 0.000 0.500 0.686



2.
## Cd2TeIr (GGA-PBE)

Data for a relaxed structure of Cd2TeIr.

Energy relative to the elements, uncorrected (eV per atom): 0.029

Lattice parameters (Å, degrees): 4.497 3.170 6.941 90.00 108.84 90.00
Space group Pm (No. 6)
One atom of each set of equivalent atoms:
Cd1 0.000 0.000 0.000
Cd2 0.335 0.500 0.671
Te1 0.634 0.500 0.265
Ir1 0.793 0.000 0.587



3.
## CdTeIr2 (GGA-PBE)

Data for a relaxed structure of CdTeIr2.

Distance to the lowest polymorph of the same formula (meV per atom): 62
Energy relative to the elements, uncorrected (eV per atom): 0.371

Lattice parameters (Å, degrees): 4.344 4.344 7.543 90.00 90.00 90.00
Space group I4/mmm (No. 139)
One atom of each set of equivalent atoms:
Cd1 0.000 0.000 0.000
Te1 0.000 0.000 0.500
Ir1 0.000 0.500 0.250



4.
## CdTeIr2 (GGA-PBE)

Data for a relaxed structure of CdTeIr2.

Distance to the lowest polymorph of the same formula (meV per atom): 50
Energy relative to the elements, uncorrected (eV per atom): 0.358

Lattice parameters (Å, degrees): 3.129 3.129 7.357 90.00 90.00 90.00
Space group P4/mmm (No. 123)
One atom of each set of equivalent atoms:
Cd1 0.000 0.000 0.000
Te1 0.000 0.000 0.500
Ir1 0.500 0.500 0.262



5.
## Cd2TeIr (GGA-PBE)

Data for a relaxed structure of Cd2TeIr.

Energy relative to the elements, uncorrected (eV per atom): 0.264

Lattice parameters (Å, degrees): 3.151 4.060 6.620 90.00 90.00 90.00
Space group Pmmm (No. 47)
One atom of each set of equivalent atoms:
Cd1 0.000 0.000 0.207
Te1 0.500 0.500 0.500
Ir1 0.500 0.500 0.000



6.
## CdTeIr2 (GGA-PBE)

Data for a relaxed structure of CdTeIr2.

Distance to the lowest polymorph of the same formula (meV per atom): 0
Energy relative to the elements, uncorrected (eV per atom): 0.308

Lattice parameters (Å, degrees): 2.997 3.854 7.089 90.00 90.00 90.00
Space group Pmm2 (No. 25)
One atom of each set of equivalent atoms:
Cd1 0.000 0.000 0.000
Te1 0.500 0.500 0.587
Ir1 0.000 0.000 0.413
Ir2 0.500 0.500 0.204



7.
## Cd2TeIr (GGA-PBE)

Data for a relaxed structure of Cd2TeIr.

Energy relative to the elements, uncorrected (eV per atom): 0.325

Lattice parameters (Å, degrees): 4.412 4.412 8.409 90.00 90.00 90.00
Space group I-4m2 (No. 119)
One atom of each set of equivalent atoms:
Cd1 0.000 0.000 0.000
Cd2 0.000 0.500 0.250
Te1 0.000 0.000 0.500
Ir1 0.000 0.500 0.750



8.
## Cd2TeIr (GGA-PBE)

Data for a relaxed structure of Cd2TeIr.

Energy relative to the elements, uncorrected (eV per atom): 0.107

Lattice parameters (Å, degrees): 3.7031 3.7031 24.8088 90.00 90.00 120.00
Space group R3m (No. 160, hexagonal axes)
One atom of each set of equivalent atoms:
Cd1 0.0000 0.0000 0.0000
Cd2 0.0000 0.0000 0.2463
Te1 0.0000 0.0000 0.7793
Ir1 0.0000 0.0000 0.5026



9.
## Cd2Te2Ir (GGA-PBE)

Data for a relaxed structure of Cd2Te2Ir.

Energy relative to the elements, uncorrected (eV per atom): 0.511

Lattice parameters (Å, degrees): 3.724 3.724 18.489 90.00 90.00 90.00
Space group I4/mmm (No. 139)
One atom of each set of equivalent atoms:
Cd1 0.000 0.500 0.250
Te1 0.000 0.000 0.078
Ir1 0.000 0.000 0.500



10.
## CdTeIr2 (GGA-PBE)

Data for a relaxed structure of CdTeIr2.

Distance to the lowest polymorph of the same formula (meV per atom): 46
Energy relative to the elements, uncorrected (eV per atom): 0.355

Lattice parameters (Å, degrees): 3.099 4.832 4.945 90.00 90.00 90.00
Space group Pmm2 (No. 25)
One atom of each set of equivalent atoms:
Cd1 0.000 0.000 0.000
Te1 0.500 0.500 0.263
Ir1 0.000 0.500 0.691
Ir2 0.500 0.000 0.520



11.
## CdTeIr2 (GGA-PBE)

Data for a relaxed structure of CdTeIr2.

Distance to the lowest polymorph of the same formula (meV per atom): 477
Energy relative to the elements, uncorrected (eV per atom): 0.785

Lattice parameters (Å, degrees): 6.351 6.351 10.332 90.00 90.00 90.00
Space group I-42d (No. 122)
One atom of each set of equivalent atoms:
Cd1 0.000 0.000 0.000
Te1 0.000 0.000 0.500
Ir1 0.226 0.250 0.625



12.
## CdTeIr2 (GGA-PBE)

Data for a relaxed structure of CdTeIr2.

Distance to the lowest polymorph of the same formula (meV per atom): 82
Energy relative to the elements, uncorrected (eV per atom): 0.390

Lattice parameters (Å, degrees): 3.0966 3.0966 26.2200 90.00 90.00 120.00
Space group R-3m (No. 166, hexagonal axes)
One atom of each set of equivalent atoms:
Cd1 0.0000 0.0000 0.0000
Te1 0.0000 0.0000 0.5000
Ir1 0.0000 0.0000 0.2462



13.
## CdTeIr2 (GGA-PBE)

Data for a relaxed structure of CdTeIr2.

Distance to the lowest polymorph of the same formula (meV per atom): 185
Energy relative to the elements, uncorrected (eV per atom): 0.493

Lattice parameters (Å, degrees): 3.988 3.988 9.056 90.00 90.00 90.00
Space group I-4m2 (No. 119)
One atom of each set of equivalent atoms:
Cd1 0.000 0.000 0.000
Te1 0.000 0.500 0.250
Ir1 0.000 0.000 0.500
Ir2 0.000 0.500 0.750



14.
## CdTeIr2 (GGA-PBE)

Data for a relaxed structure of CdTeIr2.

Distance to the lowest polymorph of the same formula (meV per atom): 248
Energy relative to the elements, uncorrected (eV per atom): 0.556

Lattice parameters (Å, degrees): 2.999 5.136 9.465 90.00 90.00 90.00
Space group Cmmm (No. 65)
One atom of each set of equivalent atoms:
Cd1 0.000 0.000 0.000
Te1 0.000 0.000 0.500
Ir1 0.000 0.500 0.249



15.
## Cd2TeIr (GGA-PBE)

Data for a relaxed structure of Cd2TeIr.

Energy relative to the elements, uncorrected (eV per atom): 0.291

Lattice parameters (Å, degrees): 4.269 4.269 4.483 90.00 90.00 90.00
Space group P4/mmm (No. 123)
One atom of each set of equivalent atoms:
Cd1 0.000 0.500 0.000
Te1 0.000 0.000 0.500
Ir1 0.500 0.500 0.500



16.
## CdTeIr2 (GGA-PBE)

Data for a relaxed structure of CdTeIr2.

Distance to the lowest polymorph of the same formula (meV per atom): 43
Energy relative to the elements, uncorrected (eV per atom): 0.351

Lattice parameters (Å, degrees): 10.669 3.008 4.990 90.00 111.34 90.00
Space group Cm (No. 8)
One atom of each set of equivalent atoms:
Cd1 0.000 0.000 0.000
Te1 0.201 0.000 0.651
Ir1 0.257 0.500 0.137
Ir2 0.473 0.000 0.480



17.
## Cd3TeIr (GGA-PBE)

Data for a relaxed structure of Cd3TeIr.

Distance to the lowest polymorph of the same formula (meV per atom): 0
Energy relative to the elements, uncorrected (eV per atom): 0.384

Lattice parameters (Å, degrees): 5.200 5.200 5.200 90.00 90.00 90.00
Space group Pm-3m (No. 221)
One atom of each set of equivalent atoms:
Cd1 0.000 0.000 0.500
Te1 0.500 0.500 0.500
Ir1 0.000 0.000 0.000



18.
## CdTeIr2 (GGA-PBE)

Data for a relaxed structure of CdTeIr2.

Distance to the lowest polymorph of the same formula (meV per atom): 42
Energy relative to the elements, uncorrected (eV per atom): 0.350

Lattice parameters (Å, degrees): 3.052 4.197 5.890 90.00 90.00 90.00
Space group Pmmm (No. 47)
One atom of each set of equivalent atoms:
Cd1 0.000 0.000 0.000
Te1 0.500 0.000 0.500
Ir1 0.500 0.500 0.224



19.
## Cd2TeIr (GGA-PBE)

Data for a relaxed structure of Cd2TeIr.

Energy relative to the elements, uncorrected (eV per atom): 0.218

Lattice parameters (Å, degrees): 13.666 3.067 4.590 90.00 109.28 90.00
Space group C2/m (No. 12)
One atom of each set of equivalent atoms:
Cd1 0.192 0.000 0.192
Te1 0.000 0.000 0.500
Ir1 0.000 0.500 0.000



20.
## CdTeIr2 (GGA-PBE)

Data for a relaxed structure of CdTeIr2.

Distance to the lowest polymorph of the same formula (meV per atom): 75
Energy relative to the elements, uncorrected (eV per atom): 0.383

Lattice parameters (Å, degrees): 8.807 3.149 5.349 90.00 101.35 90.00
Space group C2/m (No. 12)
One atom of each set of equivalent atoms:
Cd1 0.000 0.000 0.000
Te1 0.000 0.500 0.500
Ir1 0.248 0.000 0.733



21.
## Cd2TeIr (GGA-PBE)

Data for a relaxed structure of Cd2TeIr.

Energy relative to the elements, uncorrected (eV per atom): 0.183

Lattice parameters (Å, degrees): 3.153 3.153 9.172 90.00 90.00 90.00
Space group P4/mmm (No. 123)
One atom of each set of equivalent atoms:
Cd1 0.000 0.000 0.187
Te1 0.500 0.500 0.500
Ir1 0.500 0.500 0.000



22.
## Cd2TeIr (GGA-PBE)

Data for a relaxed structure of Cd2TeIr.

Energy relative to the elements, uncorrected (eV per atom): 0.012

Lattice parameters (Å, degrees): 9.932 3.144 6.744 90.00 110.66 90.00
Space group Cm (No. 8)
One atom of each set of equivalent atoms:
Cd1 0.000 0.000 0.000
Cd2 0.197 0.000 0.707
Te1 0.347 0.500 0.306
Ir1 0.451 0.000 0.637



23.
## Cd2TeIr (GGA-PBE)

Data for a relaxed structure of Cd2TeIr.

Energy relative to the elements, uncorrected (eV per atom): 0.316

Lattice parameters (Å, degrees): 3.0805 3.0805 32.1288 90.00 90.00 120.00
Space group R-3m (No. 166, hexagonal axes)
One atom of each set of equivalent atoms:
Cd1 0.0000 0.0000 0.2346
Te1 0.0000 0.0000 0.0000
Ir1 0.0000 0.0000 0.5000



24.
## Cd2TeIr (GGA-PBE)

Data for a relaxed structure of Cd2TeIr.

Energy relative to the elements, uncorrected (eV per atom): 0.698

Lattice parameters (Å, degrees): 6.401 6.401 12.753 90.00 90.00 90.00
Space group I-42d (No. 122)
One atom of each set of equivalent atoms:
Cd1 0.223 0.250 0.125
Te1 0.000 0.000 0.500
Ir1 0.000 0.000 0.000



25.
## CdTeIr2 (GGA-PBE)

Data for a relaxed structure of CdTeIr2.

Distance to the lowest polymorph of the same formula (meV per atom): 74
Energy relative to the elements, uncorrected (eV per atom): 0.382

Lattice parameters (Å, degrees): 6.186 7.333 3.161 90.00 90.00 90.00
Space group Cmmm (No. 65)
One atom of each set of equivalent atoms:
Cd1 0.000 0.000 0.000
Te1 0.000 0.500 0.000
Ir1 0.250 0.250 0.500



26.
## Cd2TeIr (GGA-PBE)

Data for a relaxed structure of Cd2TeIr.

Energy relative to the elements, uncorrected (eV per atom): 0.157

Lattice parameters (Å, degrees): 3.187 3.187 8.694 90.00 90.00 90.00
Space group P4mm (No. 99)
One atom of each set of equivalent atoms:
Cd1 0.000 0.000 0.000
Cd2 0.500 0.500 0.259
Te1 0.500 0.500 0.661
Ir1 0.000 0.000 0.483



27.
## Cd2TeIr (GGA-PBE)

Data for a relaxed structure of Cd2TeIr.

Energy relative to the elements, uncorrected (eV per atom): 0.316

Lattice parameters (Å, degrees): 3.292 5.214 4.861 90.00 90.12 90.00
Space group P2/m (No. 10)
One atom of each set of equivalent atoms:
Cd1 0.236 0.000 0.238
Te1 0.500 0.500 0.500
Ir1 0.000 0.500 0.000



28.
## CdTeIr2 (GGA-PBE)

Data for a relaxed structure of CdTeIr2.

Distance to the lowest polymorph of the same formula (meV per atom): 338
Energy relative to the elements, uncorrected (eV per atom): 0.646

Lattice parameters (Å, degrees): 6.637 6.637 6.637 90.00 90.00 90.00
Space group F-43m (No. 216)
One atom of each set of equivalent atoms:
Cd1 0.000 0.000 0.000
Te1 0.250 0.250 0.250
Ir1 0.000 0.000 0.500
Ir2 0.250 0.250 0.750



29.
## CdTeIr2 (GGA-PBE)

Data for a relaxed structure of CdTeIr2.

Distance to the lowest polymorph of the same formula (meV per atom): 41
Energy relative to the elements, uncorrected (eV per atom): 0.349

Lattice parameters (Å, degrees): 3.043 3.043 8.428 90.00 90.00 90.00
Space group P4mm (No. 99)
One atom of each set of equivalent atoms:
Cd1 0.000 0.000 0.000
Te1 0.500 0.500 0.644
Ir1 0.000 0.000 0.430
Ir2 0.500 0.500 0.223



30.
## YCdTe2Ir (GGA-PBE)

Data for a relaxed structure of YCdTe2Ir.

Distance to the lowest polymorph of the same formula (meV per atom): 0
Energy relative to the elements, uncorrected (eV per atom): 1.035

Lattice parameters (Å, degrees): 5.764 5.764 5.910 90.00 90.00 90.00
Space group P4/mmm (No. 123)
One atom of each set of equivalent atoms:
Y1 0.000 0.000 0.000
Cd1 0.000 0.000 0.500
Te1 0.000 0.500 0.000
Ir1 0.500 0.500 0.500